1.
# PBE LiSc6Os5, relaxed
# Formation energy (eV/atom): -0.33
# Crystal system: orthorhombic
data_LiSc6Os5
_cell_length_a 4.584
_cell_length_b 6.478
_cell_length_c 13.713
_cell_angle_alpha 90.00
_cell_angle_beta 90.00
_cell_angle_gamma 90.00
_symmetry_space_group_name_H-M 'I m m m'
_symmetry_Int_Tables_number 71
_symmetry_space_group_name_Hall '-I 2 2'
loop_
_atom_site_label
_atom_site_fract_x
_atom_site_fract_y
_atom_site_fract_z
_atom_site_occupancy
Li1 0.000 0.000 0.000 1
Sc1 0.000 0.240 0.500 1
Sc2 0.000 0.255 0.171 1
Os1 0.000 0.000 0.335 1
Os2 0.000 0.500 0.000 1
Os3 0.000 0.500 0.335 1


2.
# PBE Ga3NiRh2, relaxed
# Formation energy (eV/atom): -0.54
# Energy above the most stable polymorph in this dataset (meV/atom): 22
# Crystal system: trigonal
data_Ga3NiRh2
_cell_length_a 4.2524
_cell_length_b 4.2524
_cell_length_c 10.4310
_cell_angle_alpha 90.00
_cell_angle_beta 90.00
_cell_angle_gamma 120.00
_symmetry_space_group_name_H-M 'P -3 m 1'
_symmetry_Int_Tables_number 164
_symmetry_space_group_name_Hall '-P 3 2"'
loop_
_atom_site_label
_atom_site_fract_x
_atom_site_fract_y
_atom_site_fract_z
_atom_site_occupancy
Ga1 0.0000 0.0000 0.2458 1
Ga2 0.3333 0.6667 0.4126 1
Ga3 0.3333 0.6667 0.9182 1
Ni1 0.3333 0.6667 0.1674 1
Rh1 0.0000 0.0000 0.0000 1
Rh2 0.0000 0.0000 0.5000 1
Rh3 0.3333 0.6667 0.6695 1


3.
# PBE RbAlAg3, relaxed
# Formation energy (eV/atom): 0.14
# Energy above the most stable polymorph in this dataset (meV/atom): 0
# Crystal system: cubic
data_RbAlAg3
_cell_length_a 5.168
_cell_length_b 5.168
_cell_length_c 5.168
_cell_angle_alpha 90.00
_cell_angle_beta 90.00
_cell_angle_gamma 90.00
_symmetry_space_group_name_H-M 'P m -3 m'
_symmetry_Int_Tables_number 221
_symmetry_space_group_name_Hall '-P 4 2 3'
loop_
_atom_site_label
_atom_site_fract_x
_atom_site_fract_y
_atom_site_fract_z
_atom_site_occupancy
Rb1 0.000 0.000 0.000 1
Al1 0.500 0.500 0.500 1
Ag1 0.000 0.500 0.500 1


4.
# PBE Ca3Dy2AgSe6, relaxed
# Crystal system: monoclinic
data_Ca3Dy2AgSe6
_cell_length_a 7.203
_cell_length_b 12.458
_cell_length_c 7.179
_cell_angle_alpha 90.00
_cell_angle_beta 109.50
_cell_angle_gamma 90.00
_symmetry_space_group_name_H-M 'C 1 2/m 1'
_symmetry_Int_Tables_number 12
_symmetry_space_group_name_Hall '-C 2y'
loop_
_atom_site_label
_atom_site_fract_x
_atom_site_fract_y
_atom_site_fract_z
_atom_site_occupancy
Ca1 0.000 0.000 0.000 1
Ca2 0.000 0.337 0.000 1
Dy1 0.000 0.167 0.500 1
Ag1 0.000 0.500 0.500 1
Se1 0.241 0.000 0.742 1
Se2 0.249 0.170 0.256 1


5.
# PBE Zn2TcNi, relaxed
# Formation energy (eV/atom): 0.04
# Energy above the most stable polymorph in this dataset (meV/atom): 72
# Crystal system: orthorhombic
data_Zn2TcNi
_cell_length_a 5.390
_cell_length_b 7.772
_cell_length_c 2.563
_cell_angle_alpha 90.00
_cell_angle_beta 90.00
_cell_angle_gamma 90.00
_symmetry_space_group_name_H-M 'C m m m'
_symmetry_Int_Tables_number 65
_symmetry_space_group_name_Hall '-C 2 2'
loop_
_atom_site_label
_atom_site_fract_x
_atom_site_fract_y
_atom_site_fract_z
_atom_site_occupancy
Zn1 0.250 0.250 0.000 1
Tc1 0.000 0.000 0.500 1
Ni1 0.000 0.500 0.500 1


6.
# PBE Al2ReSe, relaxed
# Crystal system: trigonal
data_Al2ReSe
_cell_length_a 2.9681
_cell_length_b 2.9681
_cell_length_c 28.9715
_cell_angle_alpha 90.00
_cell_angle_beta 90.00
_cell_angle_gamma 120.00
_symmetry_space_group_name_H-M 'R 3 m'
_symmetry_Int_Tables_number 160
_symmetry_space_group_name_Hall 'R 3 -2"'
loop_
_atom_site_label
_atom_site_fract_x
_atom_site_fract_y
_atom_site_fract_z
_atom_site_occupancy
Al1 0.0000 0.0000 0.0000 1
Al2 0.0000 0.0000 0.2535 1
Re1 0.0000 0.0000 0.7402 1
Se1 0.0000 0.0000 0.4692 1


Number 1: total magnetic moment 0.000 μB per atom, electronic total energy -199.9 eV for the cell shown, D(E_F) 20.96 states/eV per cell. Number 2: total magnetic moment 0.000 μB per atom, electronic total energy -65.6 eV for the cell shown, D(E_F) 8.46 states/eV per cell. Number 3: total magnetic moment 0.000 μB per atom, electronic total energy -12.6 eV for the cell shown, D(E_F) 1.81 states/eV per cell. Number 4: total magnetic moment 0.000 μB per atom, electronic total energy -118.3 eV for the cell shown, D(E_F) 7.44 states/eV per cell. Number 5: total magnetic moment 0.000 μB per atom, electronic total energy -37.1 eV for the cell shown, D(E_F) 7.91 states/eV per cell. Number 6: total magnetic moment 0.000 μB per atom, electronic total energy -69.6 eV for the cell shown, D(E_F) 5.33 states/eV per cell.